(1)
Computed, not measured: a relaxed CaVAu crystal at the GGA-PBE level of DFT.

Properties
Energy relative to the lowest polymorph listed for this composition in meV per atom: 93
V in A^3/atom: 22.744

Cell and atoms, written as CIF:
```
data_CaVAu
_symmetry_space_group_name_H-M 'P -1'
_symmetry_Int_Tables_number 2
_symmetry_space_group_name_Hall '-P 1'
_cell_length_a 4.444
_cell_length_b 5.373
_cell_length_c 5.888
_cell_angle_alpha 77.43
_cell_angle_beta 86.87
_cell_angle_gamma 84.35
loop_
_atom_site_label
_atom_site_type_symbol
_atom_site_fract_x
_atom_site_fract_y
_atom_site_fract_z
Ca1 Ca 0.241 0.264 0.403
V1 V 0.189 0.902 0.997
Au1 Au 0.279 0.414 0.864
```


(2)
Computed, not measured: a relaxed CaV3Au crystal at the GGA-PBE level of DFT.

Properties
Energy relative to the lowest polymorph listed for this composition in meV per atom: 0
V in A^3/atom: 25.333

Cell and atoms, written as CIF:
```
data_CaV3Au
_symmetry_space_group_name_H-M 'P m -3 m'
_symmetry_Int_Tables_number 221
_symmetry_space_group_name_Hall '-P 4 2 3'
_cell_length_a 5.022
_cell_length_b 5.022
_cell_length_c 5.022
_cell_angle_alpha 90.00
_cell_angle_beta 90.00
_cell_angle_gamma 90.00
loop_
_atom_site_label
_atom_site_type_symbol
_atom_site_fract_x
_atom_site_fract_y
_atom_site_fract_z
Ca1 Ca 0.000 0.000 0.000
V1 V 0.000 0.500 0.500
Au1 Au 0.500 0.500 0.500
```


(3)
Computed, not measured: a relaxed Ca2VAu crystal at the GGA-PBE level of DFT.

Properties
Energy relative to the lowest polymorph listed for this composition in meV per atom: 213
V in A^3/atom: 27.029

Cell and atoms, written as CIF:
```
data_Ca2VAu
_symmetry_space_group_name_H-M 'I -4 2 d'
_symmetry_Int_Tables_number 122
_symmetry_space_group_name_Hall 'I -4 2bw'
_cell_length_a 8.278
_cell_length_b 8.278
_cell_length_c 6.311
_cell_angle_alpha 90.00
_cell_angle_beta 90.00
_cell_angle_gamma 90.00
loop_
_atom_site_label
_atom_site_type_symbol
_atom_site_fract_x
_atom_site_fract_y
_atom_site_fract_z
Ca1 Ca 0.219 0.250 0.125
V1 V 0.000 0.000 0.500
Au1 Au 0.000 0.000 0.000
```


(4)
Computed, not measured: a relaxed CaVAu crystal at the GGA-PBE level of DFT.

Properties
Energy relative to the lowest polymorph listed for this composition in meV per atom: 74
V in A^3/atom: 21.208

Cell and atoms, written as CIF:
```
data_CaVAu
_symmetry_space_group_name_H-M 'P n m a'
_symmetry_Int_Tables_number 62
_symmetry_space_group_name_Hall '-P 2ac 2n'
_cell_length_a 8.268
_cell_length_b 3.358
_cell_length_c 9.166
_cell_angle_alpha 90.00
_cell_angle_beta 90.00
_cell_angle_gamma 90.00
loop_
_atom_site_label
_atom_site_type_symbol
_atom_site_fract_x
_atom_site_fract_y
_atom_site_fract_z
Ca1 Ca 0.069 0.250 0.174
V1 V 0.089 0.250 0.545
Au1 Au 0.236 0.250 0.872
```


(5)
Computed, not measured: a relaxed CaVAu crystal at the GGA-PBE level of DFT.

Properties
Energy relative to the lowest polymorph listed for this composition in meV per atom: 107
V in A^3/atom: 21.739

Cell and atoms, written as CIF:
```
data_CaVAu
_symmetry_space_group_name_H-M 'C 1 2/m 1'
_symmetry_Int_Tables_number 12
_symmetry_space_group_name_Hall '-C 2y'
_cell_length_a 9.998
_cell_length_b 4.648
_cell_length_c 7.278
_cell_angle_alpha 90.00
_cell_angle_beta 129.53
_cell_angle_gamma 90.00
loop_
_atom_site_label
_atom_site_type_symbol
_atom_site_fract_x
_atom_site_fract_y
_atom_site_fract_z
Ca1 Ca 0.231 0.000 0.174
V1 V 0.063 0.000 0.442
Au1 Au 0.057 0.500 0.238
```


(6)
Computed, not measured: a relaxed CaVAu crystal at the GGA-PBE level of DFT.

Properties
Energy relative to the lowest polymorph listed for this composition in meV per atom: 119
V in A^3/atom: 21.281

Cell and atoms, written as CIF:
```
data_CaVAu
_symmetry_space_group_name_H-M 'C 1 m 1'
_symmetry_Int_Tables_number 8
_symmetry_space_group_name_Hall 'C -2y'
_cell_length_a 8.723
_cell_length_b 5.034
_cell_length_c 6.028
_cell_angle_alpha 90.00
_cell_angle_beta 105.27
_cell_angle_gamma 90.00
loop_
_atom_site_label
_atom_site_type_symbol
_atom_site_fract_x
_atom_site_fract_y
_atom_site_fract_z
Ca1 Ca 0.000 0.000 0.000
Ca2 Ca 0.223 0.500 0.311
V1 V 0.088 0.000 0.557
V2 V 0.300 0.000 0.741
Au1 Au 0.132 0.500 0.753
Au2 Au 0.381 0.000 0.291
```


(7)
Computed, not measured: a relaxed CaVAu crystal at the GGA-PBE level of DFT.

Properties
Energy relative to the lowest polymorph listed for this composition in meV per atom: 0
V in A^3/atom: 20.880

Cell and atoms, written as CIF:
```
data_CaVAu
_symmetry_space_group_name_H-M 'I m m a'
_symmetry_Int_Tables_number 74
_symmetry_space_group_name_Hall '-I 2b 2'
_cell_length_a 4.997
_cell_length_b 6.184
_cell_length_c 8.109
_cell_angle_alpha 90.00
_cell_angle_beta 90.00
_cell_angle_gamma 90.00
loop_
_atom_site_label
_atom_site_type_symbol
_atom_site_fract_x
_atom_site_fract_y
_atom_site_fract_z
Ca1 Ca 0.000 0.250 0.118
V1 V 0.250 0.250 0.750
Au1 Au 0.000 0.000 0.500
```


(8)
Computed, not measured: a relaxed CaVAu crystal at the GGA-PBE level of DFT.

Properties
Energy relative to the lowest polymorph listed for this composition in meV per atom: 54
V in A^3/atom: 22.062

Cell and atoms, written as CIF:
```
data_CaVAu
_symmetry_space_group_name_H-M 'P 1 21/m 1'
_symmetry_Int_Tables_number 11
_symmetry_space_group_name_Hall '-P 2yb'
_cell_length_a 4.518
_cell_length_b 5.364
_cell_length_c 5.908
_cell_angle_alpha 90.00
_cell_angle_beta 112.40
_cell_angle_gamma 90.00
loop_
_atom_site_label
_atom_site_type_symbol
_atom_site_fract_x
_atom_site_fract_y
_atom_site_fract_z
Ca1 Ca 0.210 0.250 0.420
V1 V 0.500 0.000 0.000
Au1 Au 0.077 0.750 0.155
```


(9)
Computed, not measured: a relaxed CaW2Au crystal at the GGA-PBE level of DFT.

Properties
Energy relative to the lowest polymorph listed for this composition in meV per atom: 325
V in A^3/atom: 18.800

Cell and atoms, written as CIF:
```
data_CaW2Au
_symmetry_space_group_name_H-M 'I 4/m m m'
_symmetry_Int_Tables_number 139
_symmetry_space_group_name_Hall '-I 4 2'
_cell_length_a 3.920
_cell_length_b 3.920
_cell_length_c 9.788
_cell_angle_alpha 90.00
_cell_angle_beta 90.00
_cell_angle_gamma 90.00
loop_
_atom_site_label
_atom_site_type_symbol
_atom_site_fract_x
_atom_site_fract_y
_atom_site_fract_z
Ca1 Ca 0.000 0.000 0.000
W1 W 0.000 0.500 0.250
Au1 Au 0.000 0.000 0.500
```


(10)
Computed, not measured: a relaxed CaWAu crystal at the GGA-PBE level of DFT.

Properties
Energy relative to the lowest polymorph listed for this composition in meV per atom: 200
V in A^3/atom: 19.623

Cell and atoms, written as CIF:
```
data_CaWAu
_symmetry_space_group_name_H-M 'P 3 m 1'
_symmetry_Int_Tables_number 156
_symmetry_space_group_name_Hall 'P 3 -2"'
_cell_length_a 2.9954
_cell_length_b 2.9954
_cell_length_c 7.5761
_cell_angle_alpha 90.00
_cell_angle_beta 90.00
_cell_angle_gamma 120.00
loop_
_atom_site_label
_atom_site_type_symbol
_atom_site_fract_x
_atom_site_fract_y
_atom_site_fract_z
Ca1 Ca 0.0000 0.0000 0.0000
W1 W 0.6667 0.3333 0.3468
Au1 Au 0.3333 0.6667 0.6562
```


(11)
Computed, not measured: a relaxed CaWAu2 crystal at the GGA-PBE level of DFT.

Properties
Energy relative to the lowest polymorph listed for this composition in meV per atom: 455
V in A^3/atom: 19.433

Cell and atoms, written as CIF:
```
data_CaWAu2
_symmetry_space_group_name_H-M 'F -4 3 m'
_symmetry_Int_Tables_number 216
_symmetry_space_group_name_Hall 'F -4 2 3'
_cell_length_a 6.775
_cell_length_b 6.775
_cell_length_c 6.775
_cell_angle_alpha 90.00
_cell_angle_beta 90.00
_cell_angle_gamma 90.00
loop_
_atom_site_label
_atom_site_type_symbol
_atom_site_fract_x
_atom_site_fract_y
_atom_site_fract_z
Ca1 Ca 0.000 0.000 0.000
W1 W 0.250 0.250 0.250
Au1 Au 0.000 0.000 0.500
Au2 Au 0.250 0.250 0.750
```


(12)
Computed, not measured: a relaxed CaWAu2 crystal at the GGA-PBE level of DFT.

Properties
Energy relative to the lowest polymorph listed for this composition in meV per atom: 161
V in A^3/atom: 19.698

Cell and atoms, written as CIF:
```
data_CaWAu2
_symmetry_space_group_name_H-M 'I m m 2'
_symmetry_Int_Tables_number 44
_symmetry_space_group_name_Hall 'I 2 -2'
_cell_length_a 3.006
_cell_length_b 4.988
_cell_length_c 10.511
_cell_angle_alpha 90.00
_cell_angle_beta 90.00
_cell_angle_gamma 90.00
loop_
_atom_site_label
_atom_site_type_symbol
_atom_site_fract_x
_atom_site_fract_y
_atom_site_fract_z
Ca1 Ca 0.000 0.000 0.000
W1 W 0.000 0.500 0.777
Au1 Au 0.000 0.000 0.499
Au2 Au 0.000 0.500 0.236
```


(13)
Computed, not measured: a relaxed CaW2Au crystal at the GGA-PBE level of DFT.

Properties
Energy relative to the lowest polymorph listed for this composition in meV per atom: 252
V in A^3/atom: 18.867

Cell and atoms, written as CIF:
```
data_CaW2Au
_symmetry_space_group_name_H-M 'C 1 m 1'
_symmetry_Int_Tables_number 8
_symmetry_space_group_name_Hall 'C -2y'
_cell_length_a 9.662
_cell_length_b 2.734
_cell_length_c 5.735
_cell_angle_alpha 90.00
_cell_angle_beta 94.84
_cell_angle_gamma 90.00
loop_
_atom_site_label
_atom_site_type_symbol
_atom_site_fract_x
_atom_site_fract_y
_atom_site_fract_z
Ca1 Ca 0.000 0.000 0.000
W1 W 0.020 0.500 0.484
W2 W 0.264 0.500 0.314
Au1 Au 0.249 0.000 0.775
```


(14)
Computed, not measured: a relaxed CaWAu2 crystal at the GGA-PBE level of DFT.

Properties
Energy relative to the lowest polymorph listed for this composition in meV per atom: 538
V in A^3/atom: 26.409

Cell and atoms, written as CIF:
```
data_CaWAu2
_symmetry_space_group_name_H-M 'I -4 2 d'
_symmetry_Int_Tables_number 122
_symmetry_space_group_name_Hall 'I -4 2bw'
_cell_length_a 5.044
_cell_length_b 5.044
_cell_length_c 16.610
_cell_angle_alpha 90.00
_cell_angle_beta 90.00
_cell_angle_gamma 90.00
loop_
_atom_site_label
_atom_site_type_symbol
_atom_site_fract_x
_atom_site_fract_y
_atom_site_fract_z
Ca1 Ca 0.000 0.000 0.000
W1 W 0.000 0.000 0.500
Au1 Au 0.169 0.250 0.625
```


(15)
Computed, not measured: a relaxed CaW2Au crystal at the GGA-PBE level of DFT.

Properties
Energy relative to the lowest polymorph listed for this composition in meV per atom: 969
V in A^3/atom: 18.126

Cell and atoms, written as CIF:
```
data_CaW2Au
_symmetry_space_group_name_H-M 'F m -3 m'
_symmetry_Int_Tables_number 225
_symmetry_space_group_name_Hall '-F 4 2 3'
_cell_length_a 6.619
_cell_length_b 6.619
_cell_length_c 6.619
_cell_angle_alpha 90.00
_cell_angle_beta 90.00
_cell_angle_gamma 90.00
loop_
_atom_site_label
_atom_site_type_symbol
_atom_site_fract_x
_atom_site_fract_y
_atom_site_fract_z
Ca1 Ca 0.000 0.000 0.000
W1 W 0.250 0.250 0.250
Au1 Au 0.000 0.000 0.500
```


(16)
Computed, not measured: a relaxed CaWAu crystal at the GGA-PBE level of DFT.

Properties
Energy relative to the lowest polymorph listed for this composition in meV per atom: 187
V in A^3/atom: 20.088

Cell and atoms, written as CIF:
```
data_CaWAu
_symmetry_space_group_name_H-M 'P -6 m 2'
_symmetry_Int_Tables_number 187
_symmetry_space_group_name_Hall 'P -6 2'
_cell_length_a 4.8858
_cell_length_b 4.8858
_cell_length_c 2.9151
_cell_angle_alpha 90.00
_cell_angle_beta 90.00
_cell_angle_gamma 120.00
loop_
_atom_site_label
_atom_site_type_symbol
_atom_site_fract_x
_atom_site_fract_y
_atom_site_fract_z
Ca1 Ca 0.0000 0.0000 0.0000
W1 W 0.6667 0.3333 0.5000
Au1 Au 0.3333 0.6667 0.5000
```


(17)
Computed, not measured: a relaxed CaW3Au crystal at the GGA-PBE level of DFT.

Properties
Energy relative to the lowest polymorph listed for this composition in meV per atom: 807
V in A^3/atom: 19.496

Cell and atoms, written as CIF:
```
data_CaW3Au
_symmetry_space_group_name_H-M 'P m -3 m'
_symmetry_Int_Tables_number 221
_symmetry_space_group_name_Hall '-P 4 2 3'
_cell_length_a 4.602
_cell_length_b 4.602
_cell_length_c 4.602
_cell_angle_alpha 90.00
_cell_angle_beta 90.00
_cell_angle_gamma 90.00
loop_
_atom_site_label
_atom_site_type_symbol
_atom_site_fract_x
_atom_site_fract_y
_atom_site_fract_z
Ca1 Ca 0.000 0.000 0.000
W1 W 0.000 0.000 0.500
Au1 Au 0.500 0.500 0.500
```


(18)
Computed, not measured: a relaxed CaWAu2 crystal at the GGA-PBE level of DFT.

Properties
Energy relative to the lowest polymorph listed for this composition in meV per atom: 205
V in A^3/atom: 19.992

Cell and atoms, written as CIF:
```
data_CaWAu2
_symmetry_space_group_name_H-M 'F m -3 m'
_symmetry_Int_Tables_number 225
_symmetry_space_group_name_Hall '-F 4 2 3'
_cell_length_a 6.839
_cell_length_b 6.839
_cell_length_c 6.839
_cell_angle_alpha 90.00
_cell_angle_beta 90.00
_cell_angle_gamma 90.00
loop_
_atom_site_label
_atom_site_type_symbol
_atom_site_fract_x
_atom_site_fract_y
_atom_site_fract_z
Ca1 Ca 0.000 0.000 0.000
W1 W 0.000 0.000 0.500
Au1 Au 0.250 0.250 0.250
```


(19)
Computed, not measured: a relaxed CaW2Au crystal at the GGA-PBE level of DFT.

Properties
Energy relative to the lowest polymorph listed for this composition in meV per atom: 87
V in A^3/atom: 18.722

Cell and atoms, written as CIF:
```
data_CaW2Au
_symmetry_space_group_name_H-M 'C m m 2'
_symmetry_Int_Tables_number 35
_symmetry_space_group_name_Hall 'C 2 -2'
_cell_length_a 3.365
_cell_length_b 4.681
_cell_length_c 9.508
_cell_angle_alpha 90.00
_cell_angle_beta 90.00
_cell_angle_gamma 90.00
loop_
_atom_site_label
_atom_site_type_symbol
_atom_site_fract_x
_atom_site_fract_y
_atom_site_fract_z
Ca1 Ca 0.000 0.000 0.000
W1 W 0.000 0.000 0.490
W2 W 0.000 0.500 0.277
Au1 Au 0.000 0.500 0.736
```


(20)
Computed, not measured: a relaxed CaWAu crystal at the GGA-PBE level of DFT.

Properties
Energy relative to the lowest polymorph listed for this composition in meV per atom: 558
V in A^3/atom: 24.327

Cell and atoms, written as CIF:
```
data_CaWAu
_symmetry_space_group_name_H-M 'F -4 3 m'
_symmetry_Int_Tables_number 216
_symmetry_space_group_name_Hall 'F -4 2 3'
_cell_length_a 6.634
_cell_length_b 6.634
_cell_length_c 6.634
_cell_angle_alpha 90.00
_cell_angle_beta 90.00
_cell_angle_gamma 90.00
loop_
_atom_site_label
_atom_site_type_symbol
_atom_site_fract_x
_atom_site_fract_y
_atom_site_fract_z
Ca1 Ca 0.000 0.000 0.000
W1 W 0.000 0.000 0.500
Au1 Au 0.250 0.250 0.750
```